This record from the Alexandria database describes a geometry-optimized NbCdSb2I structure. The functional is PBE.

Cell: 5.391 5.391 5.856 Å, 90.00 90.00 90.00°
Element x y z (fractional)
Nb: 0.000 0.000 0.000
Cd: 0.500 0.500 0.500
Sb: 0.000 0.500 0.500
Sb: 0.500 0.000 0.500
I: 0.500 0.500 0.000

Calculated total energy = -14.82 eV for the cell shown
Space-group type = No. 123
Relative energy among the computed polymorphs = 894 meV/atom
Density of states at the Fermi level = 1.19 states/eV/atom

***

This record from the Alexandria database describes a geometry-optimized NbCdSb2I structure. The functional is PBE.

Cell: 5.361 5.361 5.828 Å, 90.00 90.00 90.00°
Element x y z (fractional)
Nb: 0.000 0.000 0.000
Cd: 0.500 0.500 0.500
Sb: 0.000 0.500 0.000
Sb: 0.500 0.000 0.000
I: 0.000 0.000 0.500

Calculated total energy = -19.29 eV for the cell shown
Space-group type = No. 123
Relative energy among the computed polymorphs = 0 meV/atom
Density of states at the Fermi level = 0.71 states/eV/atom

***

This record from the Alexandria database describes a geometry-optimized NbCdTe2I structure. The functional is PBE.

Cell: 5.427 5.427 5.766 Å, 90.00 90.00 90.00°
Element x y z (fractional)
Nb: 0.000 0.000 0.000
Cd: 0.500 0.500 0.500
Te: 0.000 0.500 0.000
Te: 0.500 0.000 0.000
I: 0.000 0.000 0.500

Calculated total energy = -18.45 eV for the cell shown
Space-group type = No. 123
Relative energy among the computed polymorphs = 0 meV/atom
Density of states at the Fermi level = 0.65 states/eV/atom

***

This record from the Alexandria database describes a geometry-optimized NbCd2TeI structure. The functional is PBE.

Cell: 5.817 5.817 5.475 Å, 90.00 90.00 90.00°
Element x y z (fractional)
Nb: 0.000 0.000 0.000
Cd: 0.000 0.500 0.500
Cd: 0.500 0.000 0.500
Te: 0.000 0.000 0.500
I: 0.500 0.500 0.000

Calculated total energy = -13.25 eV for the cell shown
Space-group type = No. 123
Density of states at the Fermi level = 0.82 states/eV/atom

***

Which of these has the lowest calculated total energy?
number 2